Material: AlZnFe2
Method: DFT, PBE
State: relaxed

Cell: 8.4640 8.4640 8.4640 Å, 18.45 18.45 18.45°
Site moments in Bohr magnetons follow the coordinates.
Fractional coordinates of all 4 atoms:
Fe: 0.9965 0.9965 0.9965  1.93
Fe: 0.2561 0.2561 0.2561  2.35
Zn: 0.5051 0.5051 0.5051  -0.02
Al: 0.7423 0.7423 0.7423  -0.03

Properties
VASP energy   -5.405 eV per atom
SG   R3m

Material: Sr3Ir2O7
Method: DFT, PBE
State: relaxed

Cell: 3.8648 4.0258 11.0218 Å, 100.52 90.00 90.00°
Fractional coordinates of all 12 atoms:
O: 0.5000 0.9012 0.8023
O: 0.0000 0.5898 0.1796
O: 0.0000 0.8084 0.6168
O: 0.0000 0.0000 0.0000
O: 0.0000 0.4102 0.8204
O: 0.5000 0.0988 0.1977
O: 0.0000 0.1916 0.3832
Sr: 0.5000 0.3222 0.6443
Sr: 0.5000 0.5000 0.0000
Sr: 0.5000 0.6778 0.3557
Ir: 0.0000 0.0972 0.1944
Ir: 0.0000 0.9028 0.8056

Properties
SG   Cmmm
Uncorrected formation energy   -1.65 eV/atom
E above lowest polymorph   0.147 eV per atom

Material: K2NaGa12Ir3
Method: DFT, PBE
State: relaxed

Cell: 8.3621 8.3621 8.3621 Å, 69.75 69.75 69.75°
Fractional coordinates of all 18 atoms:
Ga: 0.7305 0.7305 0.0548
Ga: 0.3651 0.8707 0.8707
Ga: 0.6349 0.1293 0.1293
Ga: 0.8707 0.8707 0.3651
Ga: 0.7305 0.0548 0.7305
Ga: 0.1293 0.1293 0.6349
Ga: 0.1293 0.6349 0.1293
Ga: 0.8707 0.3651 0.8707
Ga: 0.0548 0.7305 0.7305
Ga: 0.9452 0.2695 0.2695
Ga: 0.2695 0.2695 0.9452
Ga: 0.2695 0.9452 0.2695
K: 0.6003 0.6003 0.6003
K: 0.3997 0.3997 0.3997
Ir: 0.5000 0.0000 0.0000
Ir: 0.0000 0.0000 0.5000
Ir: 0.0000 0.5000 0.0000
Na: 0.0000 0.0000 0.0000

Properties
VASP energy   -3.739 eV per atom
SG   R-3m

Material: LaTa2Cu
Method: DFT, PBE
State: relaxed

Cell: 3.2626 4.8362 5.1144 Å, 90.00 90.00 90.00°
Fractional coordinates of all 4 atoms:
La: 0.0000 0.5000 0.5000
Ta: 0.0000 0.0000 0.0000
Ta: 0.5000 0.5000 0.0000
Cu: 0.5000 0.0000 0.5000

Properties
SG   Pmmm
E above lowest polymorph   0.224 eV per atom

Material: Ac2CdHg
Method: DFT, PBE
State: relaxed

Cell: 4.0734 5.7310 5.7310 Å, 90.00 90.00 90.00°
Site moments in Bohr magnetons follow the coordinates.
Fractional coordinates of all 4 atoms:
Ac: 0.0000 0.5000 0.0000  0.07
Ac: 0.0000 0.0000 0.5000  0.07
Hg: 0.5000 0.5000 0.5000  0.01
Cd: 0.5000 0.0000 0.0000  0.01

Properties
SG   P4/mmm
E above lowest polymorph   0.001 eV per atom

Material: Mg5TlAu4
Method: DFT, PBE
State: relaxed

Cell: 3.3381 3.3381 17.5213 Å, 90.00 90.00 90.00°
Fractional coordinates of all 10 atoms:
Mg: 0.5000 0.5000 0.5000
Mg: 0.5000 0.5000 0.6840
Mg: 0.5000 0.5000 0.8668
Mg: 0.5000 0.5000 0.1332
Mg: 0.5000 0.5000 0.3160
Tl: 0.0000 0.0000 0.0000
Au: 0.0000 0.0000 0.4075
Au: 0.0000 0.0000 0.7782
Au: 0.0000 0.0000 0.2218
Au: 0.0000 0.0000 0.5925

Properties
VASP energy   -2.838 eV per atom
SG   P4/mmm

Material: SnMoPCl2
Method: DFT, PBE
State: relaxed

Cell: 5.1140 5.1140 5.2722 Å, 90.00 90.00 90.00°
Site moments in Bohr magnetons follow the coordinates.
Fractional coordinates of all 5 atoms:
Cl: 0.5000 0.0000 0.0000  0.01
Cl: 0.0000 0.5000 0.0000  0.01
Sn: 0.0000 0.0000 0.0000  0.01
Mo: 0.5000 0.5000 0.5000  3.83
P: 0.0000 0.0000 0.5000  -0.25

Properties
SG   P4/mmm
Uncorrected formation energy   0.75 eV/atom
E above lowest polymorph   0.681 eV per atom